# 1
A relaxed structure of SbMoPdI2. Source: the Alexandria database, functional GGA-PBEsol.

Cell and atoms, written as POSCAR:
```
SbMoPdI2
1.0
-0.9084 -1.0027 4.9926
3.6753 -3.8285 -0.1002
3.7146 3.5297 1.3848
I Sb Mo Pd
2 1 1 1
direct
0.0000 0.0000 0.5000
0.0000 0.5000 0.0000
0.5000 0.0000 0.0000
0.0000 0.0000 0.0000
0.5000 0.5000 0.5000
```

Properties
**Total magnetic moment**: 0.21 μB per formula unit
**Uncorrected formation energy**: 0.9309 eV per atom
**N(E_F)**: 6.06 states/eV per cell
**DFT total energy**: -21.16 eV for the cell shown

---

# 2
A relaxed structure of Be2CrCl. Source: the Alexandria database, functional GGA-PBEsol.

Cell and atoms, written as POSCAR:
```
Be2CrCl
1.0
-1.7756 1.9011 1.4222
-2.3654 -1.5690 -0.8559
0.3793 -3.0663 4.5724
Cr Be Cl
1 2 1
direct
0.5000 0.5000 0.5000
0.0000 0.0000 0.6901
0.0000 0.0000 0.3099
0.5000 0.5000 0.0000
```

Properties
**Offset from the most stable computed form**: 0 meV/atom
**Total magnetic moment**: 1.83 μB per formula unit
**Uncorrected formation energy**: 0.4033 eV per atom
**N(E_F)**: 2.59 states/eV per cell
**DFT total energy**: -18.64 eV for the cell shown

---

# 3
A relaxed structure of YZnW2. Source: the Alexandria database, functional GGA-PBEsol.

Cell and atoms, written as POSCAR:
```
YZnW2
1.0
4.6151 0.0000 0.0000
2.3075 3.9968 0.0000
2.3075 1.3323 3.7682
W Y Zn
2 1 1
direct
0.0000 0.0000 0.0000
0.2500 0.2500 0.2500
0.5000 0.5000 0.5000
0.7500 0.7500 0.7500
```

Properties
**Total magnetic moment**: 0.00 μB per formula unit
**N(E_F)**: 4.83 states/eV per cell
**Energy of formation**: 378 meV/atom
**DFT total energy**: -34.51 eV for the cell shown

---

# 4
A relaxed structure of RuW2Au. Source: the Alexandria database, functional GGA-PBEsol.

Cell and atoms, written as POSCAR:
```
RuW2Au
1.0
2.7849 0.0000 0.0000
0.0000 3.9562 0.0000
0.0000 0.0000 5.5251
Au Ru W
1 1 2
direct
0.5000 0.5000 0.0000
0.5000 0.5000 0.5000
0.0000 0.0000 0.7317
0.0000 0.0000 0.2683
```

Properties
**Offset from the most stable computed form**: 0 meV/atom
**Total magnetic moment**: 0.00 μB per formula unit
**N(E_F)**: 2.13 states/eV per cell
**Energy of formation**: 160 meV/atom
**DFT total energy**: -41.07 eV for the cell shown